[1]
First-principles (PBE) data for crystalline Sm5TmGe4 at its relaxed geometry, as listed in Alexandria via LeMat-Bulk.

## Properties
**Calculated volume**: 27.3 A^3/atom
**Total DFT energy (no corrections)**: -52.76 eV per formula unit
**Calculated formation energy**: -0.623 eV per atom

Lattice parameters (Å, degrees): 5.015 6.958 10.689 129.88 103.57 90.00
Fractional coordinates of all 10 atoms:
Sm: 0.835 0.676 0.670
Sm: 0.836 0.167 0.671
Sm: 0.164 0.833 0.329
Sm: 0.500 0.500 0.000
Sm: 0.165 0.324 0.330
Tm: 0.500 0.000 0.000
Ge: 0.324 0.895 0.647
Ge: 0.991 0.740 0.982
Ge: 0.676 0.105 0.353
Ge: 0.009 0.260 0.018



[2]
First-principles (PBE) data for crystalline SmTmZnGe at its relaxed geometry, as listed in Alexandria via LeMat-Bulk.

## Properties
**Calculated volume**: 22.6 A^3/atom
**Total DFT energy (no corrections)**: -17.13 eV per formula unit
**Calculated formation energy**: -0.513 eV per atom
**ΔE to the lowest computed polymorph**: 0.0860 eV per atom

Lattice parameters (Å, degrees): 5.041 5.041 5.041 60.00 60.00 60.00
Fractional coordinates of all 4 atoms:
Ge: 0.750 0.750 0.750
Tm: 0.000 0.000 0.000
Zn: 0.250 0.250 0.250
Sm: 0.500 0.500 0.500



[3]
First-principles (PBE) data for crystalline SmTmZnGe at its relaxed geometry, as listed in Alexandria via LeMat-Bulk.

## Properties
**Calculated volume**: 23.7 A^3/atom
**Total DFT energy (no corrections)**: -17.48 eV per formula unit
**Calculated formation energy**: -0.599 eV per atom
**ΔE to the lowest computed polymorph**: 0.0000 eV per atom

Lattice parameters (Å, degrees): 4.197 4.108 5.888 90.00 110.88 90.00
Fractional coordinates of all 4 atoms:
Sm: 0.144 0.000 0.288
Tm: 0.862 0.500 0.723
Zn: 0.572 0.500 0.144
Ge: 0.422 0.000 0.845



Q: total DFT energy (no corrections) of number 2 (SmTmZnGe)?
A: -17.13 eV per formula unit